The following is a DFT calculation (PBE-GGA) of an optimized crystal structure of NaScV2Ni.

```
NaScV2Ni
1.0
-2.2553 3.6613 -1.7088
-1.8695 -2.8225 -3.5801
-3.6391 -0.9903 2.6810
Sc Ni Na V
1 1 1 2
Direct
0.0000 0.5000 0.0000
0.0000 0.0000 0.0000
0.5000 0.5000 0.5000
0.0000 0.0000 0.5000
0.5000 0.0000 0.0000
```

Formation energy (eV/atom): 0.712
D(E_F) (states/eV/f.u.): 5.44
Uncorrected energy (Ry/atom): -0.4132